Crystalline Si2OsW at its relaxed geometry, computed with PBE-GGA.

Values from the calculation:
volume = 14.0 Å³ per atom
total magnetic moment = 0.00 μB per cell
space group = Pmm2 (25)
E_form (uncorrected) = -0.147 eV/atom

```
Si2OsW
1.0
2.8845 0.0000 0.0000
0.0000 4.4156 0.0000
0.0000 0.0000 4.4012
Si Os W
2 1 1
direct
0.0000 0.0000 0.0000 Si
0.5000 0.5000 0.1648 Si
0.5000 0.0000 0.4618 Os
0.0000 0.5000 0.6789 W
```

=====

Crystalline Si2OsW at its relaxed geometry, computed with PBE-GGA.

Values from the calculation:
volume = 14.1 Å³ per atom
total magnetic moment = 0.00 μB per cell
space group = C2/m (12)
E_form (uncorrected) = -0.009 eV/atom

```
Si2OsW
1.0
4.0400 -1.4107 0.0000
4.0400 1.4107 0.0000
-1.0490 0.0000 4.9597
Si Os W
2 1 1
direct
0.2453 0.2453 0.2257 Si
0.7547 0.7547 0.7743 Si
0.5000 0.5000 0.0000 Os
0.0000 0.0000 0.5000 W
```

=====

Crystalline Si2OsW at its relaxed geometry, computed with PBE-GGA.

Values from the calculation:
volume = 14.6 Å³ per atom
total magnetic moment = 0.00 μB per cell
space group = Immm (71)
E_form (uncorrected) = 0.180 eV/atom

```
Si2OsW
1.0
-1.4270 2.4917 4.0930
1.4270 -2.4917 4.0930
1.4270 2.4917 -4.0930
Si Os W
2 1 1
direct
0.2398 0.2398 0.0000 Si
0.7602 0.7602 0.0000 Si
0.0000 0.5000 0.5000 Os
0.5000 0.0000 0.5000 W
```